Compound: Mg14AlNiO16
Source: Alexandria
Functional: GGA+U
Structure: optimized geometry

Calculated volume in Å³ per cell: 307
VASP energy in hartree per atom: -0.2191

Lattice parameters (Å, degrees): 4.223 8.447 8.608 90.00 90.00 90.00
Last column: magnetic moment on the atom in μB.
Element x y z (fractional)
Mg 0.000 0.500 0.000  0.00
Mg 0.000 0.500 0.500  0.00
Mg 0.500 0.000 0.255  0.00
Mg 0.500 0.000 0.745  0.00
Mg 0.500 0.500 0.252  0.00
Mg 0.500 0.500 0.748  0.00
Mg 0.500 0.250 0.000  0.00
Mg 0.500 0.246 0.500  0.00
Mg 0.500 0.750 0.000  0.00
Mg 0.500 0.754 0.500  0.00
Mg 0.000 0.247 0.254  0.00
Mg 0.000 0.247 0.746  0.00
Mg 0.000 0.753 0.254  0.00
Mg 0.000 0.753 0.746  0.00
Al 0.000 0.000 0.000  0.00
Ni 0.000 0.000 0.500  0.97
O 0.000 0.239 0.000  0.00
O 0.000 0.257 0.500  0.01
O 0.000 0.761 0.000  0.00
O 0.000 0.743 0.500  0.01
O 0.500 0.249 0.250  0.00
O 0.500 0.249 0.750  0.00
O 0.500 0.751 0.250  0.00
O 0.500 0.751 0.750  0.00
O 0.500 0.000 0.000  0.00
O 0.500 0.000 0.500  0.02
O 0.500 0.500 0.000  0.00
O 0.500 0.500 0.500  0.00
O 0.000 0.000 0.213  0.00
O 0.000 0.000 0.787  0.00
O 0.000 0.500 0.246  0.00
O 0.000 0.500 0.754  0.00